# 1
# YAgC2O

A relaxed YAgC2O crystal (PBE, Alexandria via LeMat-Bulk).

Output
DOS(E_F) = 3.33 states/eV/f.u.
space-group type = P4/mmm (123)

Structure (POSCAR):
```
YAgC2O
1.0
4.016 0.000 0.000
0.000 4.016 0.000
0.000 0.000 4.399
Y Ag C O
1 1 2 1
Direct
0.000 0.000 0.000 Y
0.500 0.500 0.500 Ag
0.000 0.500 0.500 C
0.500 0.000 0.500 C
0.500 0.500 0.000 O
```



# 2
# ZnAg2C2O6

A relaxed ZnAg2C2O6 crystal (PBE, Alexandria via LeMat-Bulk).

Output
space-group type = C2/m (12)

Structure (POSCAR):
```
ZnAg2C2O6
1.0
4.415 -2.555 0.000
4.415 2.555 0.000
-3.231 0.000 5.758
Zn Ag C O
1 2 2 6
Direct
0.000 0.000 0.000 Zn
0.187 0.187 0.638 Ag
0.813 0.813 0.362 Ag
0.438 0.438 0.218 C
0.562 0.562 0.782 C
0.257 0.694 0.753 O
0.282 0.282 0.179 O
0.306 0.743 0.247 O
0.694 0.257 0.753 O
0.718 0.718 0.821 O
0.743 0.306 0.247 O
```



# 3
# Zn2AgCO

A relaxed Zn2AgCO crystal (PBE, Alexandria via LeMat-Bulk).

Output
DOS(E_F) = 1.15 states/eV/f.u.
space-group type = P4/mmm (123)

Structure (POSCAR):
```
Zn2AgCO
1.0
3.877 0.000 0.000
0.000 3.877 0.000
0.000 0.000 4.476
Zn Ag C O
2 1 1 1
Direct
0.000 0.500 0.000 Zn
0.500 0.000 0.000 Zn
0.000 0.000 0.500 Ag
0.500 0.500 0.000 C
0.500 0.500 0.500 O
```



no.,formation energy without anion corrections (eV/atom),M_tot (μB/cell)
1,1.1222,1.123
2,-0.9532,0.000
3,0.6765,0.000